Record 1
# PmAl10Pd2 | Alexandria via LeMat-Bulk | PBE | relaxed
# - ΔH_f (0 K) (eV per atom) = -0.41
data_PmAl10Pd2
_cell_length_a 5.469
_cell_length_b 12.421
_cell_length_c 13.230
_cell_angle_alpha 90.00
_cell_angle_beta 90.00
_cell_angle_gamma 90.00
_space_group_name_H-M_alt 'F m m m'
_space_group_IT_number 69
_space_group_name_Hall '-F 2 2'
loop_
_atom_site_label
_atom_site_fract_x
_atom_site_fract_y
_atom_site_fract_z
_atom_site_occupancy
Pm1 0.000 0.000 0.000 1
Al1 0.000 0.110 0.385 1
Al2 0.000 0.172 0.179 1
Al3 0.250 0.250 0.000 1
Pd1 0.250 0.000 0.250 1

=====

Record 2
# Cd2GeOsPt | Alexandria via LeMat-Bulk | PBE | relaxed
# - ΔH_f (0 K) (eV per atom) = 1.08
data_Cd2GeOsPt
_cell_length_a 5.159
_cell_length_b 5.159
_cell_length_c 4.594
_cell_angle_alpha 90.00
_cell_angle_beta 90.00
_cell_angle_gamma 90.00
_space_group_name_H-M_alt 'P 4/m m m'
_space_group_IT_number 123
_space_group_name_Hall '-P 4 2'
loop_
_atom_site_label
_atom_site_fract_x
_atom_site_fract_y
_atom_site_fract_z
_atom_site_occupancy
Cd1 0.000 0.500 0.000 1
Ge1 0.000 0.000 0.500 1
Os1 0.500 0.500 0.500 1
Pt1 0.000 0.000 0.000 1

=====

Record 3
# LaNd5Dy8 | Alexandria via LeMat-Bulk | PBE | relaxed
# - ΔH_f (0 K) (eV per atom) = 0.04
data_LaNd5Dy8
_cell_length_a 17.494
_cell_length_b 3.570
_cell_length_c 16.938
_cell_angle_alpha 90.00
_cell_angle_beta 118.18
_cell_angle_gamma 90.00
_space_group_name_H-M_alt 'C 1 2/m 1'
_space_group_IT_number 12
_space_group_name_Hall '-C 2y'
loop_
_atom_site_label
_atom_site_fract_x
_atom_site_fract_y
_atom_site_fract_z
_atom_site_occupancy
La1 0.000 0.000 0.000 1
Nd1 0.000 0.500 0.500 1
Nd2 0.145 0.000 0.441 1
Nd3 0.214 0.000 0.144 1
Dy1 0.079 0.500 0.225 1
Dy2 0.081 0.000 0.723 1
Dy3 0.147 0.500 0.939 1
Dy4 0.216 0.500 0.646 1

=====

Record 4
# Er6Tm3Pb | Alexandria via LeMat-Bulk | PBE | relaxed
# - ΔH_f (0 K) (eV per atom) = -0.02
data_Er6Tm3Pb
_cell_length_a 12.543
_cell_length_b 3.475
_cell_length_c 14.092
_cell_angle_alpha 90.00
_cell_angle_beta 100.76
_cell_angle_gamma 90.00
_space_group_name_H-M_alt 'P 1 21/m 1'
_space_group_IT_number 11
_space_group_name_Hall '-P 2yb'
loop_
_atom_site_label
_atom_site_fract_x
_atom_site_fract_y
_atom_site_fract_z
_atom_site_occupancy
Er1 0.011 0.250 0.309 1
Er2 0.157 0.250 0.883 1
Er3 0.251 0.750 0.307 1
Er4 0.271 0.750 0.715 1
Er5 0.307 0.750 0.075 1
Er6 0.384 0.250 0.532 1
Tm1 0.077 0.250 0.096 1
Tm2 0.128 0.750 0.501 1
Tm3 0.424 0.250 0.901 1
Pb1 0.468 0.250 0.275 1

=====

Record 5
# HfTlAu | Alexandria via LeMat-Bulk | PBE | relaxed
# - ΔH_f (0 K) (eV per atom) = -0.08
data_HfTlAu
_cell_length_a 3.185
_cell_length_b 14.970
_cell_length_c 5.465
_cell_angle_alpha 90.00
_cell_angle_beta 90.00
_cell_angle_gamma 90.00
_space_group_name_H-M_alt 'C m c 21'
_space_group_IT_number 36
_space_group_name_Hall 'C 2c -2'
loop_
_atom_site_label
_atom_site_fract_x
_atom_site_fract_y
_atom_site_fract_z
_atom_site_occupancy
Hf1 0.000 0.072 0.000 1
Tl1 0.000 0.259 0.682 1
Au1 0.000 0.415 0.043 1

=====

Record 6
# AcSmAlGe | Alexandria via LeMat-Bulk | PBE | relaxed
# - ΔH_f (0 K) (eV per atom) = -0.37
data_AcSmAlGe
_cell_length_a 7.615
_cell_length_b 7.615
_cell_length_c 7.615
_cell_angle_alpha 90.00
_cell_angle_beta 90.00
_cell_angle_gamma 90.00
_space_group_name_H-M_alt 'F -4 3 m'
_space_group_IT_number 216
_space_group_name_Hall 'F -4 2 3'
loop_
_atom_site_label
_atom_site_fract_x
_atom_site_fract_y
_atom_site_fract_z
_atom_site_occupancy
Ac1 0.000 0.000 0.000 1
Sm1 0.000 0.000 0.500 1
Al1 0.250 0.250 0.250 1
Ge1 0.250 0.250 0.750 1

=====

Record 7
# Ac12Ni5Ir3 | Alexandria via LeMat-Bulk | PBE | relaxed
# - ΔH_f (0 K) (eV per atom) = -0.12
data_Ac12Ni5Ir3
_cell_length_a 17.397
_cell_length_b 17.397
_cell_length_c 17.397
_cell_angle_alpha 90.00
_cell_angle_beta 90.00
_cell_angle_gamma 90.00
_space_group_name_H-M_alt 'I a -3 d'
_space_group_IT_number 230
_space_group_name_Hall '-I 4bd 2c 3'
loop_
_atom_site_label
_atom_site_fract_x
_atom_site_fract_y
_atom_site_fract_z
_atom_site_occupancy
Ac1 0.023 0.065 0.653 1
Ni1 0.000 0.000 0.000 1
Ni2 0.000 0.250 0.375 1
Ir1 0.000 0.250 0.125 1

=====

Record 8
# CePrSm | Alexandria via LeMat-Bulk | PBE | relaxed
# - ΔH_f (0 K) (eV per atom) = 0.17
data_CePrSm
_cell_length_a 3.5219
_cell_length_b 3.5219
_cell_length_c 18.5077
_cell_angle_alpha 90.00
_cell_angle_beta 90.00
_cell_angle_gamma 120.00
_space_group_name_H-M_alt 'P 63 m c'
_space_group_IT_number 186
_space_group_name_Hall 'P 6c -2c'
loop_
_atom_site_label
_atom_site_fract_x
_atom_site_fract_y
_atom_site_fract_z
_atom_site_occupancy
Ce1 0.3333 0.6667 0.0000 1
Pr1 0.3333 0.6667 0.1771 1
Sm1 0.0000 0.0000 0.3415 1

=====

Record 9
# Ca2TeBr | Alexandria via LeMat-Bulk | PBE | relaxed
# - formation energy without anion corrections (meV/atom) = -1447
data_Ca2TeBr
_cell_length_a 4.4878
_cell_length_b 4.4878
_cell_length_c 20.9590
_cell_angle_alpha 90.00
_cell_angle_beta 90.00
_cell_angle_gamma 120.00
_space_group_name_H-M_alt 'R -3 m'
_space_group_IT_number 166
_space_group_name_Hall '-R 3 2"'
loop_
_atom_site_label
_atom_site_fract_x
_atom_site_fract_y
_atom_site_fract_z
_atom_site_occupancy
Ca1 0.0000 0.0000 0.2505 1
Te1 0.0000 0.0000 0.0000 1
Br1 0.0000 0.0000 0.5000 1

=====

Record 10
# BeCu5Pd4 | Alexandria via LeMat-Bulk | PBE | relaxed
# - ΔH_f (0 K) (eV per atom) = -0.19
data_BeCu5Pd4
_cell_length_a 12.622
_cell_length_b 4.123
_cell_length_c 5.235
_cell_angle_alpha 90.00
_cell_angle_beta 107.46
_cell_angle_gamma 90.00
_space_group_name_H-M_alt 'C 1 2/m 1'
_space_group_IT_number 12
_space_group_name_Hall '-C 2y'
loop_
_atom_site_label
_atom_site_fract_x
_atom_site_fract_y
_atom_site_fract_z
_atom_site_occupancy
Be1 0.000 0.000 0.000 1
Cu1 0.000 0.000 0.500 1
Cu2 0.101 0.500 0.431 1
Cu3 0.198 0.000 0.794 1
Pd1 0.092 0.500 0.912 1
Pd2 0.188 0.000 0.287 1

=====

Record 11
# Li13Hg2 | Alexandria via LeMat-Bulk | PBE | relaxed
# - ΔH_f (0 K) (eV per atom) = -0.07
data_Li13Hg2
_cell_length_a 7.7013
_cell_length_b 7.7013
_cell_length_c 17.6257
_cell_angle_alpha 90.00
_cell_angle_beta 90.00
_cell_angle_gamma 120.00
_space_group_name_H-M_alt 'R -3 m'
_space_group_IT_number 166
_space_group_name_Hall '-R 3 2"'
loop_
_atom_site_label
_atom_site_fract_x
_atom_site_fract_y
_atom_site_fract_z
_atom_site_occupancy
Li1 0.0000 0.0000 0.0000 1
Li2 0.0747 0.5374 0.3997 1
Li3 0.0772 0.5386 0.2331 1
Hg1 0.0000 0.0000 0.1458 1

=====

Record 12
# AcHoEr3 | Alexandria via LeMat-Bulk | PBE | relaxed
# - ΔH_f (0 K) (eV per atom) = 0.16
data_AcHoEr3
_cell_length_a 4.866
_cell_length_b 8.550
_cell_length_c 9.381
_cell_angle_alpha 68.81
_cell_angle_beta 74.98
_cell_angle_gamma 90.00
_space_group_name_H-M_alt 'P -1'
_space_group_IT_number 2
_space_group_name_Hall '-P 1'
loop_
_atom_site_label
_atom_site_fract_x
_atom_site_fract_y
_atom_site_fract_z
_atom_site_occupancy
Ac1 0.115 0.149 0.270 1
Ho1 0.312 0.111 0.876 1
Er1 0.056 0.697 0.388 1
Er2 0.227 0.628 0.046 1
Er3 0.414 0.551 0.671 1